Entry 1:
Computed, not measured: In2ReRh at its PBEsol-relaxed geometry at the SCAN level of DFT.

a b c (Å): 10.362 2.874 4.871
angles (deg): 90.00 111.15 90.00
Space group Cm (No. 8)
Unique sites:
In (0.000, 0.000, 0.000) (multiplicity 2)
In (0.213, 0.000, 0.600) (multiplicity 2)
Re (0.459, 0.000, 0.482) (multiplicity 2)
Rh (0.253, 0.500, 0.111) (multiplicity 2)

Computed properties:
Its density of states at the Fermi level is 1.7 states/eV per cell. Its volume is 16.912 A^3/atom. The energy above the most stable polymorph in this dataset comes out at 0 meV per atom. The calculation puts the formation energy from the elements at 0.128 eV/atom.


Entry 2:
Computed, not measured: NbSnTeN2 at its PBEsol-relaxed geometry at the SCAN level of DFT.

a b c (Å): 4.097 4.097 5.728
angles (deg): 90.00 90.00 90.00
Space group P4/mmm (No. 123)
Unique sites:
Nb (0.000, 0.000, 0.000) (multiplicity 1)
Sn (0.500, 0.500, 0.500) (multiplicity 1)
Te (0.500, 0.500, 0.000) (multiplicity 1)
N (0.000, 0.500, 0.500) (multiplicity 2)

Computed properties:
Its density of states at the Fermi level is 2.7 states/eV per cell. The calculation puts the uncorrected formation energy at 131 kJ per mole of atoms. Its volume is 19.226 A^3/atom.


Entry 3:
Computed, not measured: TeHF3 at its PBEsol-relaxed geometry at the SCAN level of DFT.

a b c (Å): 4.418 4.418 4.418
angles (deg): 90.00 90.00 90.00
Space group Pm-3m (No. 221)
Unique sites:
Te (0.000, 0.000, 0.000) (multiplicity 1)
H (0.500, 0.500, 0.500) (multiplicity 1)
F (0.000, 0.000, 0.500) (multiplicity 3)

Computed properties:
Its density of states at the Fermi level is 2.0 states/eV per cell. Its volume is 17.242 A^3/atom. The calculation puts the total energy at -11.08 eV/atom.


Entry 4:
Computed, not measured: NiSbTe at its PBEsol-relaxed geometry at the SCAN level of DFT.

a b c (Å): 3.8420 3.8420 5.0500
angles (deg): 90.00 90.00 120.00
Space group P3m1 (No. 156)
Unique sites:
Ni (0.0000, 0.0000, 0.0000) (multiplicity 1)
Sb (0.3333, 0.6667, 0.7493) (multiplicity 1)
Te (0.6667, 0.3333, 0.2423) (multiplicity 1)

Computed properties:
Its density of states at the Fermi level is 1.1 states/eV per cell. The calculation puts the uncorrected formation energy at -21 kJ per mole of atoms. Its volume is 21.519 A^3/atom.


Entry 5:
Computed, not measured: Sc2HW at its PBEsol-relaxed geometry at the SCAN level of DFT.

a b c (Å): 2.9257 2.9257 23.9441
angles (deg): 90.00 90.00 120.00
Space group R-3m (No. 166, hexagonal axes)
Unique sites:
Sc (0.0000, 0.0000, 0.1112) (multiplicity 6)
H (0.0000, 0.0000, 0.5000) (multiplicity 3)
W (0.0000, 0.0000, 0.0000) (multiplicity 3)

Computed properties:
Its density of states at the Fermi level is 10.5 states/eV per cell. Its volume is 14.791 A^3/atom. The calculation puts the total energy at -25.03 eV/atom.


Entry 6:
Computed, not measured: AlGaN2F at its PBEsol-relaxed geometry at the SCAN level of DFT.

a b c (Å): 3.858 3.858 3.714
angles (deg): 90.00 90.00 90.00
Space group P4/mmm (No. 123)
Unique sites:
Al (0.000, 0.000, 0.000) (multiplicity 1)
Ga (0.500, 0.500, 0.500) (multiplicity 1)
N (0.000, 0.500, 0.500) (multiplicity 2)
F (0.500, 0.500, 0.000) (multiplicity 1)

Computed properties:
Its density of states at the Fermi level is 1.8 states/eV per cell. The calculation puts the uncorrected formation energy at 13 kJ per mole of atoms. Its volume is 11.055 A^3/atom.


Entry 7:
Computed, not measured: Ag4Au at its PBEsol-relaxed geometry at the SCAN level of DFT.

a b c (Å): 2.840 4.088 14.309
angles (deg): 90.00 90.00 90.00
Space group Immm (No. 71)
Unique sites:
Ag (0.000, 0.000, 0.101) (multiplicity 4)
Ag (0.000, 0.000, 0.300) (multiplicity 4)
Au (0.000, 0.000, 0.500) (multiplicity 2)

Computed properties:
Its density of states at the Fermi level is 2.4 states/eV per cell. Its volume is 16.612 A^3/atom. The energy above the most stable polymorph in this dataset comes out at 7 meV per atom. The calculation puts the formation energy from the elements at -0.045 eV/atom.


Entry 8:
Computed, not measured: NaS2O at its PBEsol-relaxed geometry at the SCAN level of DFT.

a b c (Å): 4.4921 4.4921 16.2542
angles (deg): 90.00 90.00 120.00
Space group R-3m (No. 166, hexagonal axes)
Unique sites:
Na (0.0000, 0.0000, 0.0000) (multiplicity 3)
S (0.0000, 0.0000, 0.3999) (multiplicity 6)
O (0.0000, 0.0000, 0.5000) (multiplicity 3)

Computed properties:
Its density of states at the Fermi level is 7.6 states/eV per cell. The calculation puts the uncorrected formation energy at -15 kJ per mole of atoms. Its volume is 23.671 A^3/atom.


Entry 9:
Computed, not measured: SrCd3 at its PBEsol-relaxed geometry at the SCAN level of DFT.

a b c (Å): 4.3244 4.3244 7.5139
angles (deg): 90.00 90.00 120.00
Space group P-6m2 (No. 187)
Unique sites:
Sr (0.0000, 0.0000, 0.0000) (multiplicity 1)
Cd (0.0000, 0.0000, 0.5000) (multiplicity 1)
Cd (0.6667, 0.3333, 0.2975) (multiplicity 2)

Computed properties:
Its density of states at the Fermi level is 2.1 states/eV per cell. Its volume is 30.422 A^3/atom. The calculation puts the formation energy from the elements at -0.087 eV/atom.


Entry 10:
Computed, not measured: YMnCrAs2 at its PBEsol-relaxed geometry at the SCAN level of DFT.

a b c (Å): 4.565 4.565 4.972
angles (deg): 90.00 90.00 90.00
Space group P4/mmm (No. 123)
Unique sites:
Y (0.000, 0.000, 0.000) (multiplicity 1)
Mn (0.500, 0.500, 0.000) (multiplicity 1)
Cr (0.000, 0.000, 0.500) (multiplicity 1)
As (0.000, 0.500, 0.500) (multiplicity 2)

Computed properties:
Its density of states at the Fermi level is 3.5 states/eV per cell. Its volume is 20.724 A^3/atom. The calculation puts the formation energy from the elements at 0.278 eV/atom.


Entry 11:
Computed, not measured: TaBe2Au at its PBEsol-relaxed geometry at the SCAN level of DFT.

a b c (Å): 9.208 2.713 4.343
angles (deg): 90.00 108.80 90.00
Space group Cm (No. 8)
Unique sites:
Ta (0.000, 0.000, 0.000) (multiplicity 2)
Be (0.040, 0.500, 0.534) (multiplicity 2)
Be (0.237, 0.000, 0.804) (multiplicity 2)
Au (0.287, 0.500, 0.351) (multiplicity 2)

Computed properties:
Its density of states at the Fermi level is 2.7 states/eV per cell. Its volume is 12.836 A^3/atom. The energy above the most stable polymorph in this dataset comes out at 7 meV per atom. The calculation puts the formation energy from the elements at 0.028 eV/atom.


Entry 12:
Computed, not measured: CrRu2Se at its PBEsol-relaxed geometry at the SCAN level of DFT.

a b c (Å): 2.877 4.261 8.591
angles (deg): 90.00 90.00 90.00
Space group Imm2 (No. 44)
Unique sites:
Cr (0.000, 0.000, 0.000) (multiplicity 2)
Ru (0.000, 0.000, 0.552) (multiplicity 2)
Ru (0.000, 0.500, 0.773) (multiplicity 2)
Se (0.000, 0.500, 0.280) (multiplicity 2)

Computed properties:
Its density of states at the Fermi level is 6.3 states/eV per cell. The calculation puts the uncorrected formation energy at 22 kJ per mole of atoms. Its volume is 13.166 A^3/atom.